A.
A plane-wave DFT calculation with PBE-GGA was carried out for crystalline TiCoS3 at its relaxed geometry.

Properties
- DOS at the Fermi energy (states/eV/cell) = 9.63

POSCAR file:
```
TiCoS3
1.0
-4.588 -0.302 -0.793
0.806 -2.913 -3.554
-0.265 -3.632 2.916
S Ti Co
3 1 1
Direct
0.000 0.500 0.000
0.000 0.000 0.500
0.500 0.000 0.000
0.000 0.000 0.000
0.500 0.500 0.500
```

=====

B.
A plane-wave DFT calculation with PBE-GGA was carried out for crystalline TiCoS3 at its relaxed geometry.

Properties
- DOS at the Fermi energy (states/eV/cell) = 3.45

POSCAR file:
```
TiCoS3
1.0
-3.630 -0.924 -2.216
-1.707 -1.831 3.559
-1.688 3.838 1.165
S Ti Co
3 1 1
Direct
0.500 0.000 0.000
0.000 0.000 0.500
0.000 0.500 0.000
0.500 0.500 0.500
0.000 0.000 0.000
```

=====

C.
A plane-wave DFT calculation with PBE-GGA was carried out for crystalline TiCoS3 at its relaxed geometry.

Properties
- DOS at the Fermi energy (states/eV/cell) = 11.67

POSCAR file:
```
TiCoS3
1.0
-0.584 -3.198 -1.057
5.339 1.011 -6.008
8.163 -3.683 6.635
Co Ti S
4 4 12
Direct
0.250 0.677 0.532
0.750 0.823 0.032
0.250 0.177 0.968
0.750 0.323 0.468
0.250 0.966 0.333
0.750 0.534 0.833
0.750 0.034 0.667
0.250 0.466 0.167
0.750 0.851 0.477
0.250 0.974 0.109
0.250 0.649 0.977
0.750 0.526 0.609
0.750 0.678 0.205
0.250 0.149 0.523
0.750 0.026 0.891
0.750 0.178 0.295
0.250 0.474 0.391
0.250 0.822 0.705
0.250 0.322 0.795
0.750 0.351 0.023
```

=====

Most stable pick: C. Distance to second place: 781 meV/atom.

=====

A.
A plane-wave DFT calculation with PBE-GGA was carried out for crystalline Ti3CoS at its relaxed geometry.

Properties
- DOS at the Fermi energy (states/eV/cell) = 4.65

POSCAR file:
```
Ti3CoS
1.0
-1.089 -0.911 -4.166
0.269 -4.306 0.872
-4.256 -0.039 1.121
Co S Ti
1 1 3
Direct
0.500 0.500 0.500
0.000 0.000 0.000
0.000 0.500 0.000
0.500 0.000 0.000
0.000 0.000 0.500
```

=====

B.
A plane-wave DFT calculation with PBE-GGA was carried out for crystalline Ti3CoS at its relaxed geometry.

Properties
- DOS at the Fermi energy (states/eV/cell) = 5.25

POSCAR file:
```
Ti3CoS
1.0
-3.202 -0.989 -2.972
3.103 -1.587 -2.815
-0.431 -4.071 1.819
S Ti Co
1 3 1
Direct
0.500 0.500 0.500
0.500 0.000 0.000
0.000 0.000 0.500
0.000 0.500 0.000
0.000 0.000 0.000
```

=====

Most stable pick: A. Distance to second place: 243 meV/atom.

=====

A.
A plane-wave DFT calculation with PBE-GGA was carried out for crystalline TlCo3S at its relaxed geometry.

Properties
- DOS at the Fermi energy (states/eV/cell) = 11.99

POSCAR file:
```
TlCo3S
1.0
4.815 0.000 0.000
0.000 4.815 0.000
0.000 0.000 4.815
Co S Tl
3 1 1
Direct
0.000 0.500 0.000
0.500 0.000 0.000
0.000 0.000 0.500
0.500 0.500 0.500
0.000 0.000 0.000
```

=====

B.
A plane-wave DFT calculation with PBE-GGA was carried out for crystalline TlCo3S at its relaxed geometry.

Properties
- DOS at the Fermi energy (states/eV/cell) = 5.78

POSCAR file:
```
TlCo3S
1.0
-2.664 -3.132 0.797
2.287 -2.557 -2.403
2.283 -1.094 3.336
Co Tl S
3 1 1
Direct
0.000 0.000 0.500
0.500 0.000 0.000
0.000 0.500 0.000
0.500 0.500 0.500
0.000 0.000 0.000
```

=====

Most stable pick: B. Distance to second place: 1575 meV/atom.